# 1
Material: CaSmGdCd
Method: DFT, PBE-GGA
State: relaxed

Summary:
SG ... No. 216

Lattice parameters (Å, degrees): 5.5629 5.5629 5.5629 60.00 60.00 60.00
With the nearest neighbours (Å) after each atom.
Positions (direct):
1 Ca 0.0000 0.0000 0.0000  4 Gd 3.41, 4 Sm 3.41
2 Sm 0.2500 0.2500 0.2500  4 Cd 3.41, 4 Ca 3.41
3 Gd 0.7500 0.7500 0.7500  4 Cd 3.41, 4 Ca 3.41
4 Cd 0.5000 0.5000 0.5000  4 Gd 3.41, 4 Sm 3.41

# 2
Material: CaGdCdSn
Method: DFT, PBE-GGA
State: relaxed

Summary:
SG ... No. 216

Lattice parameters (Å, degrees): 5.3789 5.3789 5.3789 60.00 60.00 60.00
With the nearest neighbours (Å) after each atom.
Positions (direct):
1 Ca 0.0000 0.0000 0.0000  4 Cd 3.29, 4 Sn 3.29
2 Gd 0.5000 0.5000 0.5000  4 Cd 3.29, 4 Sn 3.29
3 Cd 0.7500 0.7500 0.7500  4 Gd 3.29, 4 Ca 3.29
4 Sn 0.2500 0.2500 0.2500  4 Gd 3.29, 4 Ca 3.29

# 3
Material: SrCaGdCd
Method: DFT, PBE-GGA
State: relaxed

Summary:
SG ... No. 216

Lattice parameters (Å, degrees): 5.7807 5.7807 5.7807 60.00 60.00 60.00
With the nearest neighbours (Å) after each atom.
Positions (direct):
1 Sr 0.0000 0.0000 0.0000  4 Ca 3.54, 4 Cd 3.54
2 Ca 0.7500 0.7500 0.7500  4 Sr 3.54, 4 Gd 3.54
3 Gd 0.5000 0.5000 0.5000  4 Ca 3.54, 4 Cd 3.54
4 Cd 0.2500 0.2500 0.2500  4 Gd 3.54, 4 Sr 3.54

# 4
Material: CaTbGdCd
Method: DFT, PBE-GGA
State: relaxed

Summary:
SG ... No. 216

Lattice parameters (Å, degrees): 5.5304 5.5304 5.5304 60.00 60.00 60.00
With the nearest neighbours (Å) after each atom.
Positions (direct):
1 Ca 0.0000 0.0000 0.0000  4 Tb 3.39, 4 Gd 3.39
2 Tb 0.7500 0.7500 0.7500  4 Ca 3.39, 4 Cd 3.39
3 Gd 0.2500 0.2500 0.2500  4 Cd 3.39, 4 Ca 3.39
4 Cd 0.5000 0.5000 0.5000  4 Gd 3.39, 4 Tb 3.39

# 5
Material: CaGdTlCd
Method: DFT, PBE-GGA
State: relaxed

Summary:
SG ... No. 216

Lattice parameters (Å, degrees): 5.4116 5.4116 5.4116 60.00 60.00 60.00
With the nearest neighbours (Å) after each atom.
Positions (direct):
1 Ca 0.0000 0.0000 0.0000  4 Cd 3.31, 4 Tl 3.31
2 Gd 0.5000 0.5000 0.5000  4 Cd 3.31, 4 Tl 3.31
3 Tl 0.2500 0.2500 0.2500  4 Gd 3.31, 4 Ca 3.31
4 Cd 0.7500 0.7500 0.7500  4 Gd 3.31, 4 Ca 3.31

# 6
Material: CaGdZnCd
Method: DFT, PBE-GGA
State: relaxed

Summary:
SG ... No. 216

Lattice parameters (Å, degrees): 5.2616 5.2616 5.2616 60.00 60.00 60.00
With the nearest neighbours (Å) after each atom.
Positions (direct):
1 Ca 0.0000 0.0000 0.0000  4 Zn 3.22, 4 Cd 3.22
2 Gd 0.5000 0.5000 0.5000  4 Zn 3.22, 4 Cd 3.22
3 Zn 0.7500 0.7500 0.7500  4 Gd 3.22, 4 Ca 3.22
4 Cd 0.2500 0.2500 0.2500  4 Gd 3.22, 4 Ca 3.22

Going through the records in order, we get mass density values of 6.3, 6.5, 4.8, 6.5, 7.6, 6.0 g cm⁻³.
Going through the records in order, we get uncorrected energy values of -5.46, -5.77, -4.66, -5.43, -5.24, -4.88 eV/atom.